TaTiSi2N after structural relaxation, computed with PBE.

Results
Space-group type: No. 123
Total moment (μB per atom): 0.000
E_form (uncorrected) (eV per atom): -0.03

a = 4.1232 Å, b = 4.1232 Å, c = 4.0607 Å
α = 90.00°, β = 90.00°, γ = 90.00°
Positions (direct):
1 Ta 0.0000 0.0000 0.0000
2 Ti 0.5000 0.5000 0.0000
3 Si 0.0000 0.5000 0.5000
4 Si 0.5000 0.0000 0.5000
5 N 0.0000 0.0000 0.5000

---

Tb3SiN after structural relaxation, computed with PBE.

Results
Space-group type: No. 15
Total moment (μB per atom): 0.000
E_form (uncorrected) (eV per atom): -0.79

a = 8.5301 Å, b = 8.5301 Å, c = 6.6025 Å
α = 99.14°, β = 99.14°, γ = 75.79°
Positions (direct):
1 Tb 0.0238 0.1822 0.9542
2 Tb 0.1560 0.6612 0.5412
3 Tb 0.1822 0.0238 0.4542
4 Tb 0.2963 0.4682 0.1041
5 Tb 0.3388 0.8440 0.9588
6 Tb 0.4682 0.2963 0.6041
7 Tb 0.5318 0.7037 0.3959
8 Tb 0.6612 0.1560 0.0412
9 Tb 0.7037 0.5318 0.8959
10 Tb 0.8178 0.9762 0.5458
11 Tb 0.8440 0.3388 0.4588
12 Tb 0.9762 0.8178 0.0458
13 Si 0.1300 0.3805 0.7182
14 Si 0.3805 0.1300 0.2182
15 Si 0.6195 0.8700 0.7818
16 Si 0.8700 0.6195 0.2818
17 N 0.0839 0.9161 0.7500
18 N 0.2481 0.7519 0.2500
19 N 0.7519 0.2481 0.7500
20 N 0.9161 0.0839 0.2500

---

no.,total DFT energy (no corrections) (eV per cell)
1,-39.1
2,-126.4